# 1
First-principles (PBE) data for crystalline CoNiAg2Ru at its relaxed geometry, as listed in the Alexandria database.

Calculated values
Raw total energy, eV for the cell shown: -20.9
M_tot, μB per atom: 0.555
Symmetry: No. 123
E_form, eV per formula unit: 6.948
ρ, g cm⁻³: 7.492

Cell lengths 4.701, 4.701, 4.356 Å; angles 90.00, 90.00, 90.00 degrees
Positions (direct):
Co  0.000  0.000  0.000
Ni  0.500  0.500  0.500
Ag  0.000  0.500  0.500
Ag  0.500  0.000  0.500
Ru  0.500  0.500  0.000


# 2
First-principles (PBE) data for crystalline CoNiAg2Sb at its relaxed geometry, as listed in the Alexandria database.

Calculated values
Raw total energy, eV for the cell shown: -18.4
M_tot, μB per atom: 0.421
Symmetry: No. 123
ρ, g cm⁻³: 7.037

Cell lengths 4.835, 4.835, 4.594 Å; angles 90.00, 90.00, 90.00 degrees
Positions (direct):
Co  0.000  0.000  0.000
Ni  0.500  0.500  0.500
Ag  0.000  0.500  0.500
Ag  0.500  0.000  0.500
Sb  0.500  0.500  0.000


# 3
First-principles (PBE) data for crystalline CoNiAgSn at its relaxed geometry, as listed in the Alexandria database.

Calculated values
Raw total energy, eV for the cell shown: -19.4
M_tot, μB per atom: 0.267
Symmetry: No. 216
E_form, eV per formula unit: 0.382
ρ, g cm⁻³: 9.622

Cell lengths 4.380, 4.380, 4.380 Å; angles 60.00, 60.00, 60.00 degrees
Positions (direct):
Co  0.000  0.000  0.000
Ni  0.500  0.500  0.500
Ag  0.250  0.250  0.250
Sn  0.750  0.750  0.750


# 4
First-principles (PBE) data for crystalline CoNiAg2Te at its relaxed geometry, as listed in the Alexandria database.

Calculated values
Raw total energy, eV for the cell shown: -17.6
M_tot, μB per atom: 0.542
Symmetry: No. 123
ρ, g cm⁻³: 7.455

Cell lengths 4.847, 4.847, 4.371 Å; angles 90.00, 90.00, 90.00 degrees
Positions (direct):
Co  0.000  0.000  0.000
Ni  0.000  0.000  0.500
Ag  0.000  0.500  0.000
Ag  0.500  0.000  0.000
Te  0.500  0.500  0.500


# 5
First-principles (PBE) data for crystalline Ti2CoNiAg at its relaxed geometry, as listed in the Alexandria database.

Calculated values
Raw total energy, eV for the cell shown: -27.8
M_tot, μB per atom: 0.163
Symmetry: No. 123
E_form, eV per formula unit: 3.756
ρ, g cm⁻³: 5.849

Cell lengths 4.419, 4.419, 4.669 Å; angles 90.00, 90.00, 90.00 degrees
Positions (direct):
Ti  0.000  0.500  0.000
Ti  0.500  0.000  0.000
Co  0.000  0.000  0.500
Ni  0.500  0.500  0.000
Ag  0.500  0.500  0.500


Question: Which value of raw total energy does entry 3 give?
Answer: -19.4 eV for the cell shown